{
  "formula": "KTiSe2Br",
  "functional": "GGA-PBE",
  "state": "relaxed",
  "lattice": [[-2.7543, -1.8798, -3.6910], [-2.6827, -2.5677, 3.3096], [-3.4696, 4.2031, 0.4485]],
  "species": ["Ti", "Se", "Br", "Se", "K"],
  "frac_coords": [[0.0000, 0.0000, 0.0000], [0.0000, 0.5000, 0.0000], [0.0000, 0.0000, 0.5000], [0.5000, 0.0000, 0.0000], [0.5000, 0.5000, 0.5000]],
  "relative_energy_mev_per_atom": 0.0,
  "raw_formation_energy_ev_per_atom": -1.09,
  "vol_a3_per_fu": 135,
  "energy_ev_per_cell": -23.10
}

***

{
  "formula": "KTiSeBr2",
  "functional": "GGA-PBE",
  "state": "relaxed",
  "lattice": [[5.3864, 0.0000, 0.0000], [0.0000, 5.3864, 0.0000], [0.0000, 0.0000, 4.9542]],
  "species": ["Br", "Br", "Se", "Ti", "K"],
  "frac_coords": [[0.5000, 0.0000, 0.0000], [0.0000, 0.5000, 0.0000], [0.0000, 0.0000, 0.5000], [0.0000, 0.0000, 0.0000], [0.5000, 0.5000, 0.5000]],
  "relative_energy_mev_per_atom": 0.0,
  "raw_formation_energy_ev_per_atom": -1.19,
  "vol_a3_per_fu": 144,
  "energy_ev_per_cell": -21.79
}

***

{
  "formula": "KTiSe2Br",
  "functional": "GGA-PBE",
  "state": "relaxed",
  "lattice": [[5.5076, 0.0000, 0.0000], [0.0000, 5.5076, 0.0000], [0.0000, 0.0000, 5.6130]],
  "species": ["Ti", "Se", "Se", "Br", "K"],
  "frac_coords": [[0.5000, 0.5000, 0.5000], [0.5000, 0.0000, 0.0000], [0.0000, 0.5000, 0.0000], [0.0000, 0.0000, 0.5000], [0.0000, 0.0000, 0.0000]],
  "relative_energy_mev_per_atom": 1890.4,
  "raw_formation_energy_ev_per_atom": 0.80,
  "vol_a3_per_fu": 170,
  "energy_ev_per_cell": -13.65
}

***

{
  "formula": "KTlSeBr2",
  "functional": "GGA-PBE",
  "state": "relaxed",
  "lattice": [[5.8617, 0.0000, 0.0000], [0.0000, 5.8617, 0.0000], [0.0000, 0.0000, 5.3775]],
  "species": ["K", "Tl", "Br", "Br", "Se"],
  "frac_coords": [[0.5000, 0.5000, 0.5000], [0.0000, 0.0000, 0.0000], [0.0000, 0.5000, 0.0000], [0.5000, 0.0000, 0.0000], [0.0000, 0.0000, 0.5000]],
  "relative_energy_mev_per_atom": 0.0,
  "raw_formation_energy_ev_per_atom": -0.68,
  "vol_a3_per_fu": 185,
  "energy_ev_per_cell": -13.70
}